First-principles (PBE) data for crystalline LiMn2Sb at its relaxed geometry, as listed in Alexandria.

Cell: 9.2223 9.2223 9.2223 Å, 19.11 19.11 19.11°
Site moments in Bohr magnetons follow the coordinates.
Fractional coordinates of all 4 atoms:
Li1 0.7500 0.7500 0.7500  -0.04
Mn1 0.0005 0.0005 0.0005  3.57
Mn2 0.4995 0.4995 0.4995  3.57
Sb1 0.2500 0.2500 0.2500  -0.08

M_tot = 7.19 μB/f.u.
ρ = 5.39 g/cm³
Formation energy from raw total energies = 0.49 eV/atom
DFT total energy = -0.412 Ry per atom
Space-group type = R-3m (166)
N(E_F) = 4.3 states/eV/f.u.

First-principles (PBE) data for crystalline LiMn2Sb at its relaxed geometry, as listed in Alexandria.

Cell: 5.4815 5.4815 2.9450 Å, 76.00 76.00 118.21°
Site moments in Bohr magnetons follow the coordinates.
Fractional coordinates of all 4 atoms:
Li1 0.0000 0.5000 0.5000  -0.02
Mn1 0.0000 0.0000 0.0000  3.49
Mn2 0.5000 0.5000 0.0000  3.49
Sb1 0.5000 0.0000 0.5000  -0.06

M_tot = 7.17 μB/f.u.
ρ = 5.76 g/cm³
Formation energy from raw total energies = 0.25 eV/atom
DFT total energy = -0.430 Ry per atom
Space-group type = C2/m (12)
N(E_F) = 3.3 states/eV/f.u.

First-principles (PBE) data for crystalline LiMn2Sb at its relaxed geometry, as listed in Alexandria.

Cell: 4.3398 4.3398 4.3398 Å, 120.06 120.06 89.89°
Site moments in Bohr magnetons follow the coordinates.
Fractional coordinates of all 4 atoms:
Li1 0.7500 0.2500 0.5000  0.03
Mn1 0.0000 0.0000 0.0000  3.40
Mn2 0.2500 0.7500 0.5000  -1.58
Sb1 0.5000 0.5000 0.0000  0.04

M_tot = 2.00 μB/f.u.
ρ = 6.86 g/cm³
Formation energy from raw total energies = -0.03 eV/atom
DFT total energy = -0.450 Ry per atom
Space-group type = F-43m (216)
N(E_F) = 3.9 states/eV/f.u.

First-principles (PBE) data for crystalline LiMn2Sb at its relaxed geometry, as listed in Alexandria.

Cell: 4.7085 2.9464 4.9858 Å, 85.55 90.00 90.00°
Site moments in Bohr magnetons follow the coordinates.
Fractional coordinates of all 4 atoms:
Li1 0.5000 0.7500 0.7500  -0.02
Mn1 0.0000 0.0195 0.0014  3.50
Mn2 0.0000 0.4805 0.4986  3.50
Sb1 0.5000 0.2500 0.2500  -0.06

M_tot = 7.19 μB/f.u.
ρ = 5.74 g/cm³
Formation energy from raw total energies = 0.25 eV/atom
DFT total energy = -0.429 Ry per atom
Space-group type = P2/m (10)
N(E_F) = 3.4 states/eV/f.u.